# GGA+U FeCuAgF6, optimized geometry
# M_tot: 6.00 μB/f.u.
# DFT total energy: -4.455 eV per atom
data_FeCuAgF6
_space_group_name_H-M_alt 'P -3 1 c'
_space_group_IT_number 163
_space_group_name_Hall '-P 3 2c'
_cell_length_a 5.3666
_cell_length_b 5.3666
_cell_length_c 10.2036
_cell_angle_alpha 90.00
_cell_angle_beta 90.00
_cell_angle_gamma 120.00
loop_
_atom_site_label
_atom_site_type_symbol
_atom_site_fract_x
_atom_site_fract_y
_atom_site_fract_z
Fe1 Fe 0.3333 0.6667 0.2500
Cu1 Cu 0.3333 0.6667 0.7500
Ag1 Ag 0.0000 0.0000 0.0000
F1 F 0.0138 0.3735 0.1442